(1)
VASP calculation (PBE) on a relaxed structure of Rb2SbN.

Cell: 8.5925 8.5925 8.5925 Å, 90.00 90.00 90.00°
Last column: nearest neighbours and their distance in Å.
Atoms (fractional coordinates):
Rb 0.2500 0.2500 0.2500  4 Sb 3.72, 4 N 3.72
Rb 0.2500 0.2500 0.7500  4 Sb 3.72, 4 N 3.72
Rb 0.2500 0.7500 0.2500  4 Sb 3.72, 4 N 3.72
Rb 0.2500 0.7500 0.7500  4 Sb 3.72, 4 N 3.72
Rb 0.7500 0.2500 0.2500  4 Sb 3.72, 4 N 3.72
Rb 0.7500 0.2500 0.7500  4 Sb 3.72, 4 N 3.72
Rb 0.7500 0.7500 0.2500  4 Sb 3.72, 4 N 3.72
Rb 0.7500 0.7500 0.7500  4 Sb 3.72, 4 N 3.72
Sb 0.0000 0.0000 0.0000  8 Rb 3.72
Sb 0.0000 0.5000 0.5000  8 Rb 3.72
Sb 0.5000 0.0000 0.5000  8 Rb 3.72
Sb 0.5000 0.5000 0.0000  8 Rb 3.72
N 0.0000 0.0000 0.5000  8 Rb 3.72
N 0.0000 0.5000 0.0000  8 Rb 3.72
N 0.5000 0.0000 0.0000  8 Rb 3.72
N 0.5000 0.5000 0.5000  8 Rb 3.72

* volume: 39.65 A^3/atom
* SG: Fm-3m
* raw total energy: -2.6650 eV/atom
* formation energy (no corrections): 0.93 eV/atom



(2)
VASP calculation (PBE) on a relaxed structure of Er2PaRh.

Cell: 3.3588 3.3588 8.3379 Å, 90.00 90.00 90.00°
Last column: nearest neighbours and their distance in Å.
Atoms (fractional coordinates):
Er 0.0000 0.0000 0.2035  4 Rh 2.92
Er 0.0000 0.0000 0.7965  4 Rh 2.92
Pa 0.5000 0.5000 0.5000  4 Pa 3.36, 8 Er 3.43
Rh 0.5000 0.5000 0.0000  8 Er 2.92

* volume: 23.52 A^3/atom
* SG: P4/mmm
* raw total energy: -6.8230 eV/atom



Ρ, record by record: 3.211, 11.800 g/cm³